! Tb8GeS6 | the Alexandria database | PBE | relaxed; values from VASP
! E_tot, eV/atom: -5.95
&SYSTEM
  ibrav = 0, nat = 15, ntyp = 3
/
ATOMIC_SPECIES
Tb 158.93 Tb.upf
Ge 72.64 Ge.upf
S 32.06 S.upf
ATOMIC_POSITIONS angstrom
Tb -1.327 2.877 1.010
Tb -1.915 8.493 1.010
Tb 1.828 2.588 2.953
Tb 0.000 5.855 2.964
Tb 5.071 2.928 0.999
Tb 3.242 6.195 1.010
Tb 6.986 0.289 2.953
Tb 6.398 5.905 2.953
Ge 0.000 0.000 1.981
S -1.943 5.729 0.986
S 1.081 4.236 0.986
S 4.209 1.182 2.977
S 0.862 7.601 0.986
S 3.990 4.547 2.977
S 7.014 3.054 2.977
CELL_PARAMETERS angstrom
10.141 0.000 0.000
-5.071 8.783 0.000
0.000 0.000 3.962

=====

! TbGe2S6 | the Alexandria database | PBE | relaxed; values from VASP
! E_tot, eV/atom: -4.90
&SYSTEM
  ibrav = 0, nat = 18, ntyp = 3
/
ATOMIC_SPECIES
Tb 158.93 Tb.upf
Ge 72.64 Ge.upf
S 32.06 S.upf
ATOMIC_POSITIONS angstrom
Tb 5.376 4.474 4.700
Tb 5.826 -4.474 1.567
Ge 3.005 0.869 4.347
Ge 3.455 -0.869 1.213
Ge 7.747 0.869 5.054
Ge 8.197 -0.869 1.920
S 0.779 0.944 4.103
S 3.599 2.610 5.576
S 1.229 -0.944 0.969
S 4.085 0.989 2.364
S 7.152 2.610 3.824
S 3.635 -0.989 5.498
S 7.567 0.989 0.769
S 4.049 -2.610 2.443
S 7.117 -0.989 3.902
S 9.972 0.944 5.297
S 7.602 -2.610 0.691
S 10.422 -0.944 2.164
CELL_PARAMETERS angstrom
6.051 -5.869 0.000
6.051 5.869 0.000
-0.900 0.000 6.267

=====

! Tb2GeS | the Alexandria database | PBE | relaxed; values from VASP
! Offset from the most stable computed form, eV per atom: 0.184
&SYSTEM
  ibrav = 0, nat = 12, ntyp = 3
/
ATOMIC_SPECIES
Tb 158.93 Tb.upf
Ge 72.64 Ge.upf
S 32.06 S.upf
ATOMIC_POSITIONS angstrom
Tb 0.000 0.000 0.000
Tb 0.000 0.000 3.662
Tb 0.000 2.313 14.057
Tb 0.000 2.313 17.719
Tb 2.003 1.157 7.029
Tb 2.003 1.157 10.690
Ge 0.000 0.000 12.368
Ge 0.000 2.313 5.339
Ge 2.003 1.157 19.396
S 0.000 0.000 15.951
S 0.000 2.313 8.923
S 2.003 1.157 1.894
CELL_PARAMETERS angstrom
4.006 0.000 0.000
-2.003 3.470 0.000
0.000 0.000 21.086

=====

! Tb2GeS | the Alexandria database | PBE | relaxed; values from VASP
! Offset from the most stable computed form, eV per atom: 0.000
&SYSTEM
  ibrav = 0, nat = 16, ntyp = 3
/
ATOMIC_SPECIES
Tb 158.93 Tb.upf
Ge 72.64 Ge.upf
S 32.06 S.upf
ATOMIC_POSITIONS angstrom
Tb 0.000 1.435 1.412
Tb 0.000 1.435 7.208
Tb 0.000 4.305 4.285
Tb 0.000 4.305 10.082
Tb 2.870 1.435 4.335
Tb 2.870 1.435 10.031
Tb 2.870 4.305 1.462
Tb 2.870 4.305 7.158
Ge 0.000 1.435 4.310
Ge 0.000 4.305 7.183
Ge 2.870 1.435 1.437
Ge 2.870 4.305 10.056
S 0.000 1.435 10.056
S 0.000 4.305 1.437
S 2.870 1.435 7.183
S 2.870 4.305 4.310
CELL_PARAMETERS angstrom
5.740 0.000 0.000
0.000 5.740 0.000
0.000 0.000 11.493

=====

Number 1: calculated volume 353 Å³/f.u.. Number 2: calculated volume 223 Å³/f.u.. Number 3: calculated volume 98 Å³/f.u.. Number 4: calculated volume 95 Å³/f.u..